TbNdW2N6: optimized geometry, PBE.

Uncorrected formation energy, eV/atom: -0.9549
D(E_F), states/eV per cell: 0.00

Unit cell a=6.4449 b=7.4818 c=7.4818 alpha=81.62 beta=73.11 gamma=73.11
Closest atoms and distances in Å follow each position.
Fractional coordinates of all 20 atoms:
N (0.5750, 0.6588, 0.6406)  2 W 1.90-1.96
N (0.3375, 0.2273, 0.0000)  1 W 1.87
N (0.6625, 0.7727, 0.0000)  1 W 1.87
N (0.8531, 0.3790, 0.8786)  1 W 1.80
N (0.3531, 0.8786, 0.3790)  1 W 1.80
N (0.4250, 0.3412, 0.3594)  2 W 1.90-1.96
N (0.0750, 0.6406, 0.6588)  2 W 1.90-1.96
N (0.9250, 0.3594, 0.3412)  2 W 1.90-1.96
N (0.8375, 0.0000, 0.2273)  1 W 1.87
N (0.6469, 0.1214, 0.6210)  1 W 1.80
N (0.1469, 0.6210, 0.1214)  1 W 1.80
N (0.1625, 0.0000, 0.7727)  1 W 1.87
Tb (0.2500, 0.2914, 0.7086)  6 N 2.36-2.55
Tb (0.7500, 0.7086, 0.2914)  6 N 2.36-2.55
W (0.2174, 0.3780, 0.2032)  4 N 1.80-1.96
W (0.2826, 0.7968, 0.6220)  4 N 1.80-1.96
W (0.7174, 0.2032, 0.3780)  4 N 1.80-1.96
W (0.7826, 0.6220, 0.7968)  4 N 1.80-1.96
Nd (0.7500, 0.0945, 0.9055)  6 N 2.37-2.58
Nd (0.2500, 0.9055, 0.0945)  6 N 2.37-2.58